Compound: Na3Cd8Pb
Source: Alexandria
Functional: GGA-PBE
Structure: relaxed

Summary:
ΔE to the lowest computed polymorph   0.000 eV per atom
M_tot   0.0 Bohr magnetons per cell

```
Na3Cd8Pb
1.0
6.019 0.000 0.000
-3.010 5.213 0.000
0.000 0.000 9.658
Na Cd Pb
3 8 1
direct
0.000 0.000 0.000 Na
0.000 0.000 0.378 Na
0.333 0.667 0.874 Na
0.008 0.504 0.185 Cd
0.324 0.162 0.689 Cd
0.496 0.504 0.185 Cd
0.496 0.992 0.185 Cd
0.667 0.333 0.436 Cd
0.667 0.333 0.937 Cd
0.838 0.162 0.689 Cd
0.838 0.676 0.689 Cd
0.333 0.667 0.503 Pb
```